Density functional theory data (PBE-GGA) for an optimized crystal structure of ScBe3Tl.

Properties
relative energy among the computed polymorphs: 575 meV/atom
DFT formation energy: 1.57 eV per atom
space-group type: Pm-3m, No. 221
ρ: 3.81 g/cm³
total magnetization: 0.127 μB per atom

Cell: 4.9395 4.9395 4.9395 Å, 90.00 90.00 90.00°
Fractional coordinates of all 5 atoms:
1 Sc 0.0000 0.0000 0.0000
2 Be 0.0000 0.0000 0.5000
3 Be 0.0000 0.5000 0.0000
4 Be 0.5000 0.0000 0.0000
5 Tl 0.5000 0.5000 0.5000

***

Density functional theory data (PBE-GGA) for an optimized crystal structure of KTa2Os.

Properties
relative energy among the computed polymorphs: 126 meV/atom
DFT formation energy: 0.71 eV per atom
space-group type: R-3m, No. 166
ρ: 12.07 g/cm³
total magnetization: 0.000 μB per atom

Cell: 11.1767 11.1767 11.1767 Å, 14.99 14.99 14.99°
Fractional coordinates of all 4 atoms:
1 K 0.0000 0.0000 0.0000
2 Ta 0.2341 0.2341 0.2341
3 Ta 0.7659 0.7659 0.7659
4 Os 0.5000 0.5000 0.5000

***

Density functional theory data (PBE-GGA) for an optimized crystal structure of AlPbW2.

Properties
relative energy among the computed polymorphs: 367 meV/atom
DFT formation energy: 0.75 eV per atom
space-group type: Pmmm, No. 47
ρ: 13.99 g/cm³
total magnetization: 0.000 μB per atom

Cell: 3.2965 4.5681 4.7440 Å, 90.00 90.00 90.00°
Fractional coordinates of all 4 atoms:
1 Al 0.0000 0.0000 0.0000
2 Pb 0.5000 0.0000 0.5000
3 W 0.0000 0.5000 0.5000
4 W 0.5000 0.5000 0.0000

***

Density functional theory data (PBE-GGA) for an optimized crystal structure of In2TeMo.

Properties
space-group type: R-3m, No. 166
ρ: 8.22 g/cm³
total magnetization: 0.098 μB per atom
E_form (uncorrected): 443 meV/atom

Cell: 10.6026 10.6026 10.6026 Å, 17.25 17.25 17.25°
Fractional coordinates of all 4 atoms:
1 In 0.2379 0.2379 0.2379
2 In 0.7621 0.7621 0.7621
3 Te 0.0000 0.0000 0.0000
4 Mo 0.5000 0.5000 0.5000

***

Density functional theory data (PBE-GGA) for an optimized crystal structure of Sm2TmAu.

Properties
relative energy among the computed polymorphs: 168 meV/atom
DFT formation energy: -0.24 eV per atom
space-group type: R3m, No. 160
ρ: 9.20 g/cm³
total magnetization: 0.058 μB per atom

Cell: 10.2639 10.2639 10.2639 Å, 20.88 20.88 20.88°
Fractional coordinates of all 4 atoms:
1 Sm 0.0000 0.0000 0.0000
2 Sm 0.1884 0.1884 0.1884
3 Tm 0.7613 0.7613 0.7613
4 Au 0.5942 0.5942 0.5942

***

Density functional theory data (PBE-GGA) for an optimized crystal structure of GaH2S2.

Properties
relative energy among the computed polymorphs: 532 meV/atom
space-group type: I4/mmm, No. 139
ρ: 3.78 g/cm³
total magnetization: 0.000 μB per atom

Cell: 4.8116 4.8116 4.8116 Å, 132.32 132.32 69.72°
Fractional coordinates of all 5 atoms:
1 Ga 0.0000 0.0000 0.0000
2 H 0.2500 0.7500 0.5000
3 H 0.7500 0.2500 0.5000
4 S 0.3452 0.3452 0.0000
5 S 0.6548 0.6548 0.0000

***

Density functional theory data (PBE-GGA) for an optimized crystal structure of Co2Ni2Mo.

Properties
relative energy among the computed polymorphs: 205 meV/atom
DFT formation energy: 0.37 eV per atom
space-group type: I4/mmm, No. 139
ρ: 8.78 g/cm³
total magnetization: 0.719 μB per atom

Cell: 6.1543 6.1543 6.1543 Å, 148.72 148.72 44.82°
Fractional coordinates of all 5 atoms:
1 Co 0.2500 0.7500 0.5000
2 Co 0.7500 0.2500 0.5000
3 Ni 0.0999 0.0999 0.0000
4 Ni 0.9001 0.9001 0.0000
5 Mo 0.5000 0.5000 0.0000

***

Density functional theory data (PBE-GGA) for an optimized crystal structure of Tm7Al2Os2.

Properties
DFT formation energy: -0.16 eV per atom
space-group type: Cmmm, No. 65
ρ: 9.24 g/cm³
total magnetization: 0.000 μB per atom

Cell: 6.6211 6.6211 6.9257 Å, 90.00 90.00 106.83°
Fractional coordinates of all 11 atoms:
1 Tm 0.0000 0.0000 0.0000
2 Tm 0.0000 0.5000 0.2570
3 Tm 0.0000 0.5000 0.7430
4 Tm 0.5000 0.0000 0.2570
5 Tm 0.5000 0.0000 0.7430
6 Tm 0.5000 0.5000 0.2499
7 Tm 0.5000 0.5000 0.7501
8 Al 0.1674 0.1674 0.5000
9 Al 0.8326 0.8326 0.5000
10 Os 0.2943 0.7057 0.0000
11 Os 0.7057 0.2943 0.0000

***

Density functional theory data (PBE-GGA) for an optimized crystal structure of LaSmPa.

Properties
relative energy among the computed polymorphs: 191 meV/atom
DFT formation energy: 0.35 eV per atom
space-group type: C2/m, No. 12
ρ: 9.42 g/cm³
total magnetization: 0.000 μB per atom

Cell: 5.9104 5.9104 9.7980 Å, 96.31 96.31 32.66°
Fractional coordinates of all 6 atoms:
1 La 0.1203 0.1203 0.4092
2 La 0.8797 0.8797 0.5908
3 Sm 0.3588 0.3588 0.9087
4 Sm 0.6412 0.6412 0.0913
5 Pa 0.3784 0.3784 0.2564
6 Pa 0.6216 0.6216 0.7436

***

Density functional theory data (PBE-GGA) for an optimized crystal structure of CeNi4Au8.

Properties
DFT formation energy: -0.18 eV per atom
space-group type: I4/mmm, No. 139
ρ: 14.72 g/cm³
total magnetization: 0.044 μB per atom

Cell: 6.9615 6.9615 6.9615 Å, 98.38 98.38 135.11°
Fractional coordinates of all 13 atoms:
1 Ce 0.0000 0.0000 0.0000
2 Ni 0.0000 0.0000 0.5000
3 Ni 0.0000 0.5000 0.0000
4 Ni 0.5000 0.0000 0.0000
5 Ni 0.5000 0.5000 0.5000
6 Au 0.0000 0.3361 0.3361
7 Au 0.0000 0.6639 0.6639
8 Au 0.2803 0.5000 0.7803
9 Au 0.3361 0.0000 0.3361
10 Au 0.5000 0.2803 0.7803
11 Au 0.5000 0.7197 0.2197
12 Au 0.6639 0.0000 0.6639
13 Au 0.7197 0.5000 0.2197

***

Density functional theory data (PBE-GGA) for an optimized crystal structure of TiNbIrRu.

Properties
relative energy among the computed polymorphs: 53 meV/atom
DFT formation energy: -0.46 eV per atom
space-group type: F-43m, No. 216
ρ: 11.49 g/cm³
total magnetization: 0.000 μB per atom

Cell: 4.4601 4.4601 4.4601 Å, 60.00 60.00 60.00°
Fractional coordinates of all 4 atoms:
1 Ti 0.0000 0.0000 0.0000
2 Nb 0.5000 0.5000 0.5000
3 Ir 0.7500 0.7500 0.7500
4 Ru 0.2500 0.2500 0.2500

***

Density functional theory data (PBE-GGA) for an optimized crystal structure of SrTiZnPt2.

Properties
DFT formation energy: -0.73 eV per atom
space-group type: I-4m2, No. 119
ρ: 9.56 g/cm³
total magnetization: 0.000 μB per atom

Cell: 6.5525 6.5525 6.5525 Å, 142.69 142.69 53.79°
Fractional coordinates of all 5 atoms:
1 Sr 0.0000 0.0000 0.0000
2 Ti 0.2500 0.7500 0.5000
3 Zn 0.7500 0.2500 0.5000
4 Pt 0.3828 0.3828 0.0000
5 Pt 0.6172 0.6172 0.0000

***

Density functional theory data (PBE-GGA) for an optimized crystal structure of AcLaPr3Ho.

Properties
DFT formation energy: 0.21 eV per atom
space-group type: C2/m, No. 12
ρ: 7.07 g/cm³
total magnetization: 0.000 μB per atom

Cell: 10.9134 10.9134 7.1403 Å, 91.34 91.34 31.80°
Fractional coordinates of all 12 atoms:
1 Ac 0.1490 0.1490 0.0467
2 Ac 0.8510 0.8510 0.9533
3 La 0.1383 0.1383 0.5040
4 La 0.8617 0.8617 0.4960
5 Pr 0.0177 0.0177 0.7518
6 Pr 0.2802 0.2802 0.7120
7 Pr 0.3444 0.3444 0.2356
8 Pr 0.6556 0.6556 0.7644
9 Pr 0.7198 0.7198 0.2880
10 Pr 0.9823 0.9823 0.2482
11 Ho 0.4442 0.4442 0.7153
12 Ho 0.5558 0.5558 0.2847

***

Density functional theory data (PBE-GGA) for an optimized crystal structure of MnReW2.

Properties
relative energy among the computed polymorphs: 886 meV/atom
DFT formation energy: 0.97 eV per atom
space-group type: I-42d, No. 122
ρ: 15.44 g/cm³
total magnetization: 0.602 μB per atom

Cell: 9.9547 9.9547 9.9547 Å, 158.62 158.62 30.41°
Fractional coordinates of all 8 atoms:
1 Mn 0.0000 0.0000 0.0000
2 Mn 0.7500 0.2500 0.5000
3 Re 0.2500 0.7500 0.5000
4 Re 0.5000 0.5000 0.0000
5 W 0.1221 0.6250 0.9971
6 W 0.3750 0.3721 0.4971
7 W 0.6279 0.1250 0.0029
8 W 0.8750 0.8779 0.5029

***

Density functional theory data (PBE-GGA) for an optimized crystal structure of SbOsI2O.

Properties
relative energy among the computed polymorphs: 942 meV/atom
space-group type: P4/mmm, No. 123
ρ: 6.40 g/cm³
total magnetization: 0.117 μB per atom
E_form (uncorrected): 1124 meV/atom

Cell: 5.4765 5.4765 5.0299 Å, 90.00 90.00 90.00°
Fractional coordinates of all 5 atoms:
1 Sb 0.0000 0.0000 0.0000
2 Os 0.0000 0.0000 0.5000
3 I 0.0000 0.5000 0.5000
4 I 0.5000 0.0000 0.5000
5 O 0.5000 0.5000 0.0000

***

Density functional theory data (PBE-GGA) for an optimized crystal structure of Ga3GeB.

Properties
relative energy among the computed polymorphs: 853 meV/atom
DFT formation energy: 1.29 eV per atom
space-group type: Pm-3m, No. 221
ρ: 4.07 g/cm³
total magnetization: 0.000 μB per atom

Cell: 4.9239 4.9239 4.9239 Å, 90.00 90.00 90.00°
Fractional coordinates of all 5 atoms:
1 Ga 0.0000 0.0000 0.5000
2 Ga 0.0000 0.5000 0.0000
3 Ga 0.5000 0.0000 0.0000
4 Ge 0.0000 0.0000 0.0000
5 B 0.5000 0.5000 0.5000

***

Density functional theory data (PBE-GGA) for an optimized crystal structure of RbBa2NaMg.

Properties
DFT formation energy: 0.30 eV per atom
space-group type: P4/mmm, No. 123
ρ: 2.30 g/cm³
total magnetization: 0.000 μB per atom

Cell: 7.0177 7.0177 5.9714 Å, 90.00 90.00 90.00°
Fractional coordinates of all 5 atoms:
1 Rb 0.0000 0.0000 0.0000
2 Ba 0.0000 0.5000 0.5000
3 Ba 0.5000 0.0000 0.5000
4 Na 0.5000 0.5000 0.5000
5 Mg 0.5000 0.5000 0.0000

***

Density functional theory data (PBE-GGA) for an optimized crystal structure of CeYAl2.

Properties
relative energy among the computed polymorphs: 25 meV/atom
DFT formation energy: -0.35 eV per atom
space-group type: P4/mmm, No. 123
ρ: 4.98 g/cm³
total magnetization: 0.051 μB per atom

Cell: 3.3646 3.3646 8.3326 Å, 90.00 90.00 90.00°
Fractional coordinates of all 4 atoms:
1 Ce 0.0000 0.0000 0.0000
2 Y 0.0000 0.0000 0.5000
3 Al 0.5000 0.5000 0.2547
4 Al 0.5000 0.5000 0.7453

***

Density functional theory data (PBE-GGA) for an optimized crystal structure of LiIn.

Properties
DFT formation energy: -0.07 eV per atom
space-group type: P4_2/mnm, No. 136
ρ: 4.50 g/cm³
total magnetization: 0.000 μB per atom

Cell: 5.5772 5.5772 5.7724 Å, 90.00 90.00 90.00°
Fractional coordinates of all 8 atoms:
1 Li 0.1824 0.1824 0.0000
2 Li 0.3176 0.6824 0.5000
3 Li 0.6824 0.3176 0.5000
4 Li 0.8176 0.8176 0.0000
5 In 0.1890 0.1890 0.5000
6 In 0.3110 0.6890 0.0000
7 In 0.6890 0.3110 0.0000
8 In 0.8110 0.8110 0.5000

***

Density functional theory data (PBE-GGA) for an optimized crystal structure of CdRuCl2.

Properties
relative energy among the computed polymorphs: 654 meV/atom
space-group type: Cmmm, No. 65
ρ: 5.94 g/cm³
total magnetization: 0.656 μB per atom
E_form (uncorrected): 459 meV/atom

Cell: 4.9713 4.9713 3.2194 Å, 90.00 90.00 91.85°
Fractional coordinates of all 4 atoms:
1 Cd 0.0000 0.0000 0.0000
2 Ru 0.5000 0.5000 0.0000
3 Cl 0.0000 0.5000 0.5000
4 Cl 0.5000 0.0000 0.5000